one:
A plane-wave DFT calculation with PBE was carried out for Li2Ga8Au after structural relaxation.

Structure (POSCAR):
```
Li2Ga8Au
1.0
-2.181 3.341 1.219
-4.681 -2.146 -2.490
2.543 -3.992 8.349
Li Ga Au
2 8 1
direct
0.800 0.205 0.599
0.200 0.795 0.401
0.371 0.541 0.742
0.635 0.942 0.270
0.801 0.699 0.601
0.977 0.256 0.955
0.199 0.301 0.399
0.365 0.058 0.730
0.629 0.459 0.258
0.023 0.744 0.045
0.500 0.000 0.000
```

***

two:
A plane-wave DFT calculation with PBE was carried out for Li2Ga8Au after structural relaxation.

Structure (POSCAR):
```
Li2Ga8Au
1.0
-3.217 -1.417 2.294
-1.439 -2.119 -3.325
6.031 -8.820 3.010
Li Ga Au
2 8 1
direct
0.000 0.000 0.330
0.000 0.000 0.670
0.000 0.500 0.500
0.500 0.000 0.500
0.500 0.500 0.316
0.500 0.500 0.684
0.000 0.500 0.149
0.500 0.000 0.149
0.000 0.500 0.851
0.500 0.000 0.851
0.000 0.000 0.000
```

***

Most stable pick: two. Distance to second place: 0.019 eV/atom.

***

one:
A plane-wave DFT calculation with PBE was carried out for LiGa4Au after structural relaxation.

Structure (POSCAR):
```
LiGa4Au
1.0
-2.347 -3.839 0.193
2.253 1.472 4.242
-4.754 2.911 -0.053
Li Ga Au
1 4 1
direct
0.004 0.499 0.997
0.700 0.891 0.254
0.309 0.108 0.742
0.628 0.749 0.754
0.379 0.250 0.242
0.004 0.500 0.498
```

***

two:
A plane-wave DFT calculation with PBE was carried out for LiGa4Au after structural relaxation.

Structure (POSCAR):
```
LiGa4Au
1.0
-0.742 -2.268 4.059
-1.741 -4.247 -2.753
9.183 0.161 -1.028
Li Ga Au
2 8 2
direct
0.748 0.819 0.000
0.252 0.181 0.000
0.668 0.234 0.834
0.836 0.400 0.166
0.332 0.766 0.166
0.164 0.600 0.834
0.087 0.034 0.671
0.414 0.364 0.329
0.913 0.966 0.329
0.586 0.636 0.671
0.500 0.000 0.500
0.000 0.500 0.500
```

***

Most stable pick: one. Distance to second place: 0.044 eV/atom.

***

one:
A plane-wave DFT calculation with PBE was carried out for Li3GaAu after structural relaxation.

Structure (POSCAR):
```
Li3GaAu
1.0
-0.081 -3.032 -3.553
4.169 1.557 -1.424
2.108 -3.195 2.678
Au Ga Li
1 1 3
direct
0.500 0.500 0.500
0.000 0.000 0.000
0.000 0.500 0.000
0.000 0.000 0.500
0.500 0.000 0.000
```

***

two:
A plane-wave DFT calculation with PBE was carried out for Li3GaAu after structural relaxation.

Structure (POSCAR):
```
Li3GaAu
1.0
4.811 0.000 0.000
0.000 4.811 0.000
0.000 0.000 4.811
Au Ga Li
1 1 3
direct
0.000 0.000 0.000
0.500 0.500 0.500
0.000 0.500 0.000
0.000 0.000 0.500
0.500 0.000 0.000
```

***

Most stable pick: two. Distance to second place: 0.266 eV/atom.